Material: Tb2Ho6Fe
Method: DFT, PBE
State: optimized geometry

crystal system	orthorhombic
Fermi-level density of states	1.50	states/eV per atom
electronic total energy	-4.786	eV/atom
energy of formation	2.11	eV/f.u.
space group	Cmmm, No. 65

a = 9.628 Å, b = 9.628 Å, c = 3.450 Å
α = 90.00°, β = 90.00°, γ = 122.87°
Element x y z (fractional)
Tb (0.177, 0.823, 0.000)
Tb (0.823, 0.177, 0.000)
Ho (0.170, 0.490, 0.500)
Ho (0.227, 0.227, 0.000)
Ho (0.490, 0.170, 0.500)
Ho (0.510, 0.830, 0.500)
Ho (0.773, 0.773, 0.000)
Ho (0.830, 0.510, 0.500)
Fe (0.500, 0.500, 0.500)


Material: Tb3HoFe8
Method: DFT, PBE
State: optimized geometry

crystal system	trigonal
Fermi-level density of states	1.45	states/eV per atom
electronic total energy	-7.251	eV/atom
energy of formation	-0.85	eV/f.u.
space group	R3m, No. 160

a = 8.898 Å, b = 8.898 Å, c = 8.898 Å
α = 33.60°, β = 33.60°, γ = 33.60°
Element x y z (fractional)
Tb (0.000, 0.000, 0.000)
Tb (0.125, 0.125, 0.125)
Tb (0.500, 0.500, 0.500)
Ho (0.625, 0.625, 0.625)
Fe (0.062, 0.563, 0.563)
Fe (0.063, 0.063, 0.563)
Fe (0.063, 0.563, 0.063)
Fe (0.312, 0.312, 0.312)
Fe (0.563, 0.062, 0.563)
Fe (0.563, 0.063, 0.063)
Fe (0.563, 0.563, 0.062)
Fe (0.813, 0.813, 0.813)


Material: TbHoZnFe
Method: DFT, PBE
State: optimized geometry

crystal system	cubic
Fermi-level density of states	1.26	states/eV per atom
electronic total energy	-4.812	eV/atom
energy of formation	-0.30	eV/f.u.
space group	F-43m, No. 216

a = 6.929 Å, b = 6.929 Å, c = 6.929 Å
α = 90.00°, β = 90.00°, γ = 90.00°
Element x y z (fractional)
Tb (0.000, 0.000, 0.000)
Tb (0.000, 0.500, 0.500)
Tb (0.500, 0.000, 0.500)
Tb (0.500, 0.500, 0.000)
Ho (0.000, 0.000, 0.500)
Ho (0.000, 0.500, 0.000)
Ho (0.500, 0.000, 0.000)
Ho (0.500, 0.500, 0.500)
Zn (0.250, 0.250, 0.250)
Zn (0.250, 0.750, 0.750)
Zn (0.750, 0.250, 0.750)
Zn (0.750, 0.750, 0.250)
Fe (0.250, 0.250, 0.750)
Fe (0.250, 0.750, 0.250)
Fe (0.750, 0.250, 0.250)
Fe (0.750, 0.750, 0.750)